19
Lattice="6.164 0.024 0.754 0.670 6.127 0.754 0.026 0.024 6.210" Properties=species:S:1:pos:R:3 comment="CeHfNi17, optimized geometry, DFT PBE" ef_ev_per_atom=-0.182 pbc="T T T"
Ni 4.439 3.996 1.982
Ni 1.449 3.996 4.641
Hf 2.279 2.052 2.564
Ni 2.704 5.221 3.042
Ni 2.380 2.142 5.795
Ni 1.861 0.041 4.571
Ni 0.709 0.638 0.797
Ce 4.532 4.079 5.098
Ni 3.788 6.160 7.338
Ni 4.126 1.021 4.641
Ni 2.309 4.293 0.770
Ni 6.844 6.160 4.621
Ni 6.523 3.121 7.338
Ni 4.512 1.846 0.770
Ni 4.322 0.041 2.384
Ni 6.189 5.571 6.962
Ni 0.494 4.293 2.384
Ni 0.236 1.846 4.571
Ni 5.476 2.142 3.042


20
Lattice="-0.640 17.683 -2.845 0.226 -0.736 -4.624 -2.865 -6.933 0.963" Properties=species:S:1:pos:R:3 comment="HPd3Pt, optimized geometry, DFT PBE" e_above_lowest_polymorph_mev_per_atom=36 pbc="T T T"
Pt -2.024 12.918 -5.716
H -0.945 4.341 -3.726
Pd -1.124 4.591 -1.929
Pd -2.185 -2.096 -3.365
Pd -3.054 7.998 -4.967
Pd -1.095 12.110 -3.140
Pd -2.873 9.952 -2.956
Pt -3.009 2.472 -1.726
Pt -1.256 -2.904 -0.790
Pd -0.407 0.062 -3.550
Pd -2.156 5.424 -4.576
Pd -1.300 2.617 -4.063
Pd -0.226 2.016 -1.538
Pd -2.205 -0.207 -1.291
Pt -0.271 7.542 -4.780
Pd -1.981 7.397 -2.443
H -2.335 5.673 -2.779
Pd -1.075 10.221 -5.215
H -0.637 0.476 -0.720
H -2.643 9.538 -5.785


One value per record, in order, for VASP energy: -6.19, -4.99 eV/atom.